Density functional theory data (PBE) for a geometry-optimized ZrFeBr2 structure.

Calculated values
offset from the most stable computed form: 52.9 kJ per mole of atoms
E_form (uncorrected): 0.103 eV per atom
symmetry: C2/m, No. 12
density of states at the Fermi level: 2.64 states/eV per cell

The structure in POSCAR format:
```
ZrFeBr2
1.0
-0.488 2.818 -4.845
-4.412 -3.489 0.121
-2.905 1.771 -0.046
Br Fe Zr
2 1 1
direct
0.000 0.000 0.000
0.500 0.500 0.000
0.500 0.000 0.500
0.000 0.500 0.500
```


Density functional theory data (PBE) for a geometry-optimized Ba3In3Au structure.

Calculated values
E: -2.94 eV/atom
symmetry: C2/m, No. 12
density of states at the Fermi level: 11.81 states/eV per cell

The structure in POSCAR format:
```
Ba3In3Au
1.0
2.256 6.657 -0.227
-2.256 6.657 -0.227
0.000 5.456 16.931
Ba In Au
6 6 2
direct
0.508 0.508 0.611
0.492 0.492 0.389
0.267 0.267 0.239
0.733 0.733 0.761
0.380 0.380 0.923
0.620 0.620 0.077
0.811 0.811 0.540
0.189 0.189 0.460
0.097 0.097 0.922
0.903 0.903 0.078
0.984 0.984 0.230
0.016 0.016 0.770
0.805 0.805 0.374
0.195 0.195 0.626
```


Density functional theory data (PBE) for a geometry-optimized Zr4ZnRh structure.

Calculated values
offset from the most stable computed form: 67.8 kJ per mole of atoms
symmetry: F-43m, No. 216
density of states at the Fermi level: 7.44 states/eV per cell

The structure in POSCAR format:
```
Zr4ZnRh
1.0
0.000 3.960 3.960
3.960 0.000 3.960
3.960 3.960 0.000
Zr Zn Rh
4 1 1
direct
0.873 0.376 0.376
0.376 0.376 0.873
0.376 0.873 0.376
0.376 0.376 0.376
0.000 0.000 0.000
0.750 0.750 0.750
```


Density functional theory data (PBE) for a geometry-optimized ReTe2Se structure.

Calculated values
E_form (uncorrected): 0.529 eV per atom
symmetry: Cmm2, No. 35
density of states at the Fermi level: 4.50 states/eV per cell

The structure in POSCAR format:
```
ReTe2Se
1.0
-3.168 0.416 -0.070
1.455 -1.485 2.427
1.192 9.984 5.396
Re Se Te
1 1 2
direct
0.000 0.000 0.515
0.500 0.500 0.680
0.000 0.000 0.998
0.500 0.500 0.308
```


Density functional theory data (PBE) for a geometry-optimized CdHgSe2 structure.

Calculated values
offset from the most stable computed form: 2.9 kJ per mole of atoms
E_form (uncorrected): -0.388 eV per atom
symmetry: C2/c, No. 15
density of states at the Fermi level: 0.79 states/eV per cell

The structure in POSCAR format:
```
CdHgSe2
1.0
17.362 0.000 -3.003
3.424 5.375 -6.051
-3.424 5.375 6.051
Hg Se Cd
8 16 8
direct
0.343 0.311 0.180
0.157 0.680 0.811
0.657 0.689 0.820
0.843 0.320 0.189
0.374 0.817 0.316
0.126 0.816 0.317
0.626 0.183 0.684
0.874 0.184 0.683
0.963 0.820 0.679
0.537 0.179 0.320
0.037 0.180 0.321
0.463 0.821 0.680
0.783 0.180 0.320
0.717 0.820 0.680
0.217 0.820 0.680
0.283 0.180 0.320
0.502 0.680 0.182
0.998 0.682 0.180
0.498 0.320 0.818
0.002 0.318 0.820
0.750 0.325 0.825
0.250 0.675 0.175
0.750 0.682 0.182
0.250 0.318 0.818
0.088 0.324 0.178
0.412 0.678 0.824
0.912 0.676 0.822
0.588 0.322 0.176
0.374 0.178 0.677
0.126 0.177 0.678
0.626 0.822 0.323
0.874 0.823 0.322
```


Density functional theory data (PBE) for a geometry-optimized Ba2TlSn4Pd3 structure.

Calculated values
E: -4.37 eV/atom
symmetry: P-4m2, No. 115
density of states at the Fermi level: 6.27 states/eV per cell

The structure in POSCAR format:
```
Ba2TlSn4Pd3
1.0
-2.693 -1.734 3.594
-0.489 -4.159 -2.374
9.386 -4.013 5.096
Ba Tl Sn Pd
2 1 4 3
direct
0.500 0.000 0.247
0.000 0.500 0.753
0.500 0.500 0.500
0.500 0.500 0.000
0.000 0.000 0.000
0.500 0.000 0.646
0.000 0.500 0.354
0.000 0.000 0.500
0.500 0.000 0.882
0.000 0.500 0.118
```


Density functional theory data (PBE) for a geometry-optimized CrH2Br structure.

Calculated values
offset from the most stable computed form: 61.5 kJ per mole of atoms
symmetry: Fm-3m, No. 225
density of states at the Fermi level: 1.11 states/eV per cell

The structure in POSCAR format:
```
CrH2Br
1.0
0.000 2.870 2.870
2.870 0.000 2.870
2.870 2.870 0.000
Cr Br H
1 1 2
direct
0.000 0.000 0.000
0.500 0.500 0.500
0.250 0.250 0.250
0.750 0.750 0.750
```


Density functional theory data (PBE) for a geometry-optimized MgAl2Ag2 structure.

Calculated values
offset from the most stable computed form: 8.3 kJ per mole of atoms
symmetry: I4/mmm, No. 139
density of states at the Fermi level: 2.11 states/eV per cell

The structure in POSCAR format:
```
MgAl2Ag2
1.0
3.819 0.000 0.000
0.000 3.819 0.000
1.909 1.909 6.569
Mg Al Ag
1 2 2
direct
0.000 0.000 0.000
0.750 0.250 0.500
0.250 0.750 0.500
0.394 0.394 0.211
0.606 0.606 0.789
```


Density functional theory data (PBE) for a geometry-optimized Tb4HgC2 structure.

Calculated values
E: -5.64 eV/atom
symmetry: R-3m, No. 166
density of states at the Fermi level: 6.27 states/eV per cell

The structure in POSCAR format:
```
Tb4HgC2
1.0
-0.345 3.513 0.766
-0.005 1.106 3.439
14.075 3.032 0.944
Tb Hg C
4 1 2
direct
0.124 0.124 0.629
0.273 0.273 0.180
0.727 0.727 0.820
0.876 0.876 0.371
0.000 0.000 0.000
0.426 0.426 0.721
0.574 0.574 0.279
```


Density functional theory data (PBE) for a geometry-optimized NaSb2P2 structure.

Calculated values
offset from the most stable computed form: 3.3 kJ per mole of atoms
E_form (uncorrected): 0.094 eV per atom
symmetry: P4/mbm, No. 127
density of states at the Fermi level: 4.56 states/eV per cell

The structure in POSCAR format:
```
NaSb2P2
1.0
8.158 0.000 0.000
0.000 8.158 0.000
0.000 0.000 3.730
Sb Na P
4 2 4
direct
0.162 0.662 0.500
0.662 0.838 0.500
0.838 0.338 0.500
0.338 0.162 0.500
0.000 0.000 0.000
0.500 0.500 0.000
0.315 0.815 0.000
0.815 0.685 0.000
0.685 0.185 0.000
0.185 0.315 0.000
```


Density functional theory data (PBE) for a geometry-optimized Nb4Tc5Ge structure.

Calculated values
E: -9.97 eV/atom
symmetry: P4/mmm, No. 123
density of states at the Fermi level: 4.15 states/eV per cell

The structure in POSCAR format:
```
Nb4Tc5Ge
1.0
-1.051 -2.772 -1.185
2.565 -1.481 1.191
-7.764 -2.745 13.306
Nb Tc Ge
4 5 1
direct
0.000 0.000 0.192
0.000 0.000 0.397
0.000 0.000 0.603
0.000 0.000 0.808
0.500 0.500 0.094
0.500 0.500 0.296
0.500 0.500 0.500
0.500 0.500 0.704
0.500 0.500 0.906
0.000 0.000 0.000
```


Density functional theory data (PBE) for a geometry-optimized La2Ho3Pb4 structure.

Calculated values
offset from the most stable computed form: 11.3 kJ per mole of atoms
symmetry: Cmce, No. 64
density of states at the Fermi level: 9.38 states/eV per cell

The structure in POSCAR format:
```
La2Ho3Pb4
1.0
-3.452 -0.941 -6.243
5.851 -6.547 -2.249
-3.471 -5.469 6.891
La Ho Pb
4 6 8
direct
0.111 0.588 0.222
0.889 0.412 0.778
0.389 0.088 0.778
0.611 0.912 0.222
0.000 0.000 0.000
0.500 0.500 0.000
0.542 0.750 0.585
0.958 0.250 0.415
0.458 0.250 0.415
0.042 0.750 0.585
0.717 0.750 0.934
0.783 0.250 0.066
0.283 0.250 0.066
0.217 0.750 0.934
0.186 0.946 0.372
0.814 0.054 0.628
0.314 0.446 0.628
0.686 0.554 0.372
```